# Nb4FeTe4 PBE relaxed
# - crystal system = orthorhombic
data_Nb4FeTe4
_cell_length_a 11.004
_cell_length_b 19.124
_cell_length_c 4.860
_cell_angle_alpha 90.00
_cell_angle_beta 90.00
_cell_angle_gamma 90.00
_symmetry_space_group_name_H-M 'P b a m'
_symmetry_Int_Tables_number 55
loop_
_symmetry_equiv_pos_as_xyz
'x,y,z'
'-x,-y,-z'
'-x,-y,z'
'x,y,-z'
'x+1/2,-y+1/2,-z'
'-x+1/2,y+1/2,z'
'-x+1/2,y+1/2,-z'
'x+1/2,-y+1/2,z'
loop_
_atom_site_label
_atom_site_type_symbol
_atom_site_fract_x
_atom_site_fract_y
_atom_site_fract_z
Nb1 Nb 0.064 0.116 0.000
Nb2 Nb 0.098 0.892 0.500
Nb3 Nb 0.189 0.057 0.500
Nb4 Nb 0.203 0.963 0.000
Fe1 Fe 0.000 0.000 0.250
Te1 Te 0.108 0.198 0.500
Te2 Te 0.154 0.437 0.500
Te3 Te 0.167 0.816 0.000
Te4 Te 0.179 0.596 0.000



# Nb2FeTe6 PBE relaxed
# - crystal system = monoclinic
data_Nb2FeTe6
_cell_length_a 6.928
_cell_length_b 7.012
_cell_length_c 10.930
_cell_angle_alpha 90.00
_cell_angle_beta 125.34
_cell_angle_gamma 90.00
_symmetry_space_group_name_H-M 'P 1 21/c 1'
_symmetry_Int_Tables_number 14
loop_
_symmetry_equiv_pos_as_xyz
'x,y,z'
'-x,-y,-z'
'-x,y+1/2,-z+1/2'
'x,-y+1/2,z+1/2'
loop_
_atom_site_label
_atom_site_type_symbol
_atom_site_fract_x
_atom_site_fract_y
_atom_site_fract_z
Nb1 Nb 0.224 0.150 0.245
Fe1 Fe 0.000 0.000 0.500
Te1 Te 0.082 0.172 0.927
Te2 Te 0.272 0.661 0.934
Te3 Te 0.400 0.503 0.256



# NbFeTe PBE relaxed
# - crystal system = trigonal
data_NbFeTe
_cell_length_a 4.2362
_cell_length_b 4.2362
_cell_length_c 3.3283
_cell_angle_alpha 90.00
_cell_angle_beta 90.00
_cell_angle_gamma 120.00
_symmetry_space_group_name_H-M 'P 3 m 1'
_symmetry_Int_Tables_number 156
loop_
_symmetry_equiv_pos_as_xyz
'x,y,z'
'-y,x-y,z'
'-x+y,-x,z'
'-y,-x,z'
'-x+y,y,z'
'x,x-y,z'
loop_
_atom_site_label
_atom_site_type_symbol
_atom_site_fract_x
_atom_site_fract_y
_atom_site_fract_z
Nb1 Nb 0.0000 0.0000 0.0000
Fe1 Fe 0.3333 0.6667 0.3769
Te1 Te 0.6667 0.3333 0.5039



# NbFeTe3 PBE relaxed
# - relative energy among the computed polymorphs (meV/atom) = 0
# - crystal system = orthorhombic
data_NbFeTe3
_cell_length_a 3.604
_cell_length_b 25.726
_cell_length_c 6.482
_cell_angle_alpha 90.00
_cell_angle_beta 90.00
_cell_angle_gamma 90.00
_symmetry_space_group_name_H-M 'A m a 2'
_symmetry_Int_Tables_number 40
loop_
_symmetry_equiv_pos_as_xyz
'x,y,z'
'-x,-y,z'
'-x+1/2,y,z'
'x+1/2,-y,z'
'x,y+1/2,z+1/2'
'-x,-y+1/2,z+1/2'
'-x+1/2,y+1/2,z+1/2'
'x+1/2,-y+1/2,z+1/2'
loop_
_atom_site_label
_atom_site_type_symbol
_atom_site_fract_x
_atom_site_fract_y
_atom_site_fract_z
Nb1 Nb 0.250 0.174 0.000
Fe1 Fe 0.250 0.360 0.813
Te1 Te 0.250 0.077 0.192
Te2 Te 0.250 0.264 0.716
Te3 Te 0.250 0.369 0.207



# ThNbFe10 PBE relaxed
# - DFT formation energy (meV per atom) = 30
# - crystal system = orthorhombic
data_ThNbFe10
_cell_length_a 4.021
_cell_length_b 4.870
_cell_length_c 8.441
_cell_angle_alpha 90.00
_cell_angle_beta 90.00
_cell_angle_gamma 90.00
_symmetry_space_group_name_H-M 'P m m m'
_symmetry_Int_Tables_number 47
loop_
_symmetry_equiv_pos_as_xyz
'x,y,z'
'-x,-y,-z'
'-x,-y,z'
'x,y,-z'
'x,-y,-z'
'-x,y,z'
'-x,y,-z'
'x,-y,z'
loop_
_atom_site_label
_atom_site_type_symbol
_atom_site_fract_x
_atom_site_fract_y
_atom_site_fract_z
Th1 Th 0.000 0.000 0.000
Nb1 Nb 0.000 0.500 0.500
Fe1 Fe 0.000 0.000 0.346
Fe2 Fe 0.000 0.500 0.193
Fe3 Fe 0.500 0.000 0.500
Fe4 Fe 0.500 0.254 0.261
Fe5 Fe 0.500 0.500 0.000



# Ti3NbFe PBE relaxed
# - DFT formation energy (meV per atom) = -120
# - relative energy among the computed polymorphs (meV/atom) = 0
# - crystal system = triclinic
data_Ti3NbFe
_cell_length_a 3.015
_cell_length_b 6.731
_cell_length_c 8.042
_cell_angle_alpha 77.76
_cell_angle_beta 79.30
_cell_angle_gamma 89.98
_symmetry_space_group_name_H-M 'P -1'
_symmetry_Int_Tables_number 2
loop_
_symmetry_equiv_pos_as_xyz
'x,y,z'
'-x,-y,-z'
loop_
_atom_site_label
_atom_site_type_symbol
_atom_site_fract_x
_atom_site_fract_y
_atom_site_fract_z
Ti1 Ti 0.002 0.216 0.497
Ti2 Ti 0.189 0.878 0.123
Ti3 Ti 0.199 0.325 0.103
Nb1 Nb 0.399 0.452 0.700
Fe1 Fe 0.401 0.945 0.697



# Ti3NbFe PBE relaxed
# - DFT formation energy (meV per atom) = 1438
# - relative energy among the computed polymorphs (meV/atom) = 1558
# - crystal system = cubic
data_Ti3NbFe
_cell_length_a 4.660
_cell_length_b 4.660
_cell_length_c 4.660
_cell_angle_alpha 90.00
_cell_angle_beta 90.00
_cell_angle_gamma 90.00
_symmetry_space_group_name_H-M 'P m -3 m'
_symmetry_Int_Tables_number 221
_symmetry_space_group_name_Hall '-P 4 2 3'
loop_
_atom_site_label
_atom_site_type_symbol
_atom_site_fract_x
_atom_site_fract_y
_atom_site_fract_z
Ti1 Ti 0.000 0.000 0.500
Nb1 Nb 0.000 0.000 0.000
Fe1 Fe 0.500 0.500 0.500



# TiNb2Fe PBE relaxed
# - DFT formation energy (meV per atom) = 21
# - relative energy among the computed polymorphs (meV/atom) = 101
# - crystal system = cubic
data_TiNb2Fe
_cell_length_a 6.292
_cell_length_b 6.292
_cell_length_c 6.292
_cell_angle_alpha 90.00
_cell_angle_beta 90.00
_cell_angle_gamma 90.00
_symmetry_space_group_name_H-M 'F m -3 m'
_symmetry_Int_Tables_number 225
_symmetry_space_group_name_Hall '-F 4 2 3'
loop_
_atom_site_label
_atom_site_type_symbol
_atom_site_fract_x
_atom_site_fract_y
_atom_site_fract_z
Ti1 Ti 0.000 0.000 0.000
Nb1 Nb 0.250 0.250 0.250
Fe1 Fe 0.000 0.000 0.500



# Ti2Nb5Fe PBE relaxed
# - DFT formation energy (meV per atom) = -19
# - crystal system = orthorhombic
data_Ti2Nb5Fe
_cell_length_a 6.490
_cell_length_b 13.003
_cell_length_c 3.211
_cell_angle_alpha 90.00
_cell_angle_beta 90.00
_cell_angle_gamma 90.00
_symmetry_space_group_name_H-M 'P b a m'
_symmetry_Int_Tables_number 55
loop_
_symmetry_equiv_pos_as_xyz
'x,y,z'
'-x,-y,-z'
'-x,-y,z'
'x,y,-z'
'x+1/2,-y+1/2,-z'
'-x+1/2,y+1/2,z'
'-x+1/2,y+1/2,-z'
'x+1/2,-y+1/2,z'
loop_
_atom_site_label
_atom_site_type_symbol
_atom_site_fract_x
_atom_site_fract_y
_atom_site_fract_z
Ti1 Ti 0.222 0.116 0.000
Nb1 Nb 0.000 0.500 0.500
Nb2 Nb 0.016 0.748 0.500
Nb3 Nb 0.250 0.378 0.000
Fe1 Fe 0.000 0.000 0.500



# TiNbFe2 PBE relaxed
# - DFT formation energy (meV per atom) = 350
# - crystal system = tetragonal
data_TiNbFe2
_cell_length_a 6.700
_cell_length_b 6.700
_cell_length_c 5.244
_cell_angle_alpha 90.00
_cell_angle_beta 90.00
_cell_angle_gamma 90.00
_symmetry_space_group_name_H-M 'I -4 2 d'
_symmetry_Int_Tables_number 122
_symmetry_space_group_name_Hall 'I -4 2bw'
loop_
_atom_site_label
_atom_site_type_symbol
_atom_site_fract_x
_atom_site_fract_y
_atom_site_fract_z
Ti1 Ti 0.000 0.000 0.000
Nb1 Nb 0.000 0.000 0.500
Fe1 Fe 0.245 0.250 0.125



# Ti5NbFe4 PBE relaxed
# - DFT formation energy (meV per atom) = -316
# - crystal system = tetragonal
data_Ti5NbFe4
_cell_length_a 2.961
_cell_length_b 2.961
_cell_length_c 15.784
_cell_angle_alpha 90.00
_cell_angle_beta 90.00
_cell_angle_gamma 90.00
_symmetry_space_group_name_H-M 'P 4/m m m'
_symmetry_Int_Tables_number 123
_symmetry_space_group_name_Hall '-P 4 2'
loop_
_atom_site_label
_atom_site_type_symbol
_atom_site_fract_x
_atom_site_fract_y
_atom_site_fract_z
Ti1 Ti 0.000 0.000 0.000
Ti2 Ti 0.000 0.000 0.187
Ti3 Ti 0.000 0.000 0.373
Nb1 Nb 0.500 0.500 0.500
Fe1 Fe 0.500 0.500 0.094
Fe2 Fe 0.500 0.500 0.281



# TiNbFe2 PBE relaxed
# - DFT formation energy (meV per atom) = -212
# - crystal system = tetragonal
data_TiNbFe2
_cell_length_a 3.014
_cell_length_b 3.014
_cell_length_c 6.043
_cell_angle_alpha 90.00
_cell_angle_beta 90.00
_cell_angle_gamma 90.00
_symmetry_space_group_name_H-M 'P 4/m m m'
_symmetry_Int_Tables_number 123
_symmetry_space_group_name_Hall '-P 4 2'
loop_
_atom_site_label
_atom_site_type_symbol
_atom_site_fract_x
_atom_site_fract_y
_atom_site_fract_z
Ti1 Ti 0.000 0.000 0.000
Nb1 Nb 0.000 0.000 0.500
Fe1 Fe 0.500 0.500 0.242



| no. | E (eV/cell) |
| --- | --- |
| 1 | -261.5 |
| 2 | -97.5 |
| 3 | -21.1 |
| 4 | -116.3 |
| 5 | -101.8 |
| 6 | -85.6 |
| 7 | -35.0 |
| 8 | -145.7 |
| 9 | -149.5 |
| 10 | -134.0 |
| 11 | -86.6 |
| 12 | -35.7 |